# 1
A plane-wave DFT calculation with PBE-GGA was carried out for an optimized crystal structure of ZrBi2Ir2.

Cell: 4.039 4.039 13.772 Å, 90.00 90.00 90.00°
Space group I4/mmm (No. 139)
Inequivalent atoms, fractional coordinates:
1 Zr 0.000 0.000 0.000 x2
2 Bi 0.000 0.000 0.384 x4
3 Ir 0.000 0.500 0.250 x4

***

# 2
A plane-wave DFT calculation with PBE-GGA was carried out for an optimized crystal structure of Gd2ThIn.

Cell: 3.595 3.595 9.159 Å, 90.00 90.00 90.00°
Space group P4/mmm (No. 123)
Inequivalent atoms, fractional coordinates:
1 Gd 0.000 0.000 0.233 x2
2 Th 0.500 0.500 0.500 x1
3 In 0.500 0.500 0.000 x1

***

Polymorph energy (0 for the lowest one) in meV per atom, matching the order above: 123.7, 0.0
Formation energy from the elements in kJ/mol of atoms, matching the order above: 41.0, -23.1